1.
A PBEsol-optimized structure of KCd2Sb. Source: the Alexandria database, functional meta-GGA SCAN.

Output
For the final energy, the calculation gives -107.03 eV for the cell shown. The value obtained for the density is 5757 kg/m³. The value obtained for the energy relative to the elements, uncorrected is -14.7 kJ per mole of atoms. The calculation puts the density of states at the Fermi level at 1.2 states/eV per cell.

Cell: 3.2696 4.5377 7.6754 Å, 90.00 102.35 90.00°
Closest atoms and distances in Å follow each position.
Fractional positions:
Cd1 0.2022 0.0000 0.0264  2 Sb 2.88, 4 Cd 3.02
Cd2 0.7777 0.5000 0.1793  6 Cd 3.02-3.27, 2 Sb 3.35
K1 0.4389 0.0000 0.5050  2 K 3.27, 4 Sb 3.52, 1 Cd 3.59
Sb1 0.0812 0.5000 0.7893  2 Cd 2.88

2.
A PBEsol-optimized structure of CoGe. Source: the Alexandria database, functional meta-GGA SCAN.

Output
For the final energy, the calculation gives -146.73 eV for the cell shown. The value obtained for the density is 8552 kg/m³. Its energy of formation is -0.29 eV/f.u. The calculation puts the density of states at the Fermi level at 4.9 states/eV per cell.

Cell: 3.7141 4.8623 6.0345 Å, 99.26 107.92 90.00°
Closest atoms and distances in Å follow each position.
Fractional positions:
Co1 0.0000 0.0000 0.0000  6 Ge 2.37-2.41, 4 Co 2.43-2.54
Co2 0.0000 0.5000 0.0000  6 Ge 2.35-2.40, 4 Co 2.43-2.55
Co3 0.8021 0.6724 0.6043  6 Ge 2.36-2.48, 2 Co 2.54-2.55
Co4 0.1979 0.3276 0.3957  6 Ge 2.36-2.48, 2 Co 2.54-2.55
Ge1 0.8166 0.1803 0.6331  6 Co 2.40-2.48
Ge2 0.1834 0.8197 0.3669  6 Co 2.40-2.48
Ge3 0.5697 0.2816 0.1394  6 Co 2.35-2.37
Ge4 0.4303 0.7184 0.8606  6 Co 2.35-2.37

3.
A PBEsol-optimized structure of TaTc2P. Source: the Alexandria database, functional meta-GGA SCAN.

Output
For the final energy, the calculation gives -147.48 eV for the cell shown. The value obtained for the density is 11711 kg/m³. Its energy of formation is -0.38 eV/f.u. The calculation puts the density of states at the Fermi level at 3.1 states/eV per cell.

Cell: 2.8594 4.2741 4.7421 Å, 90.00 93.62 90.00°
Closest atoms and distances in Å follow each position.
Fractional positions:
P1 0.5000 0.5000 0.0000  4 Tc 2.49, 2 Ta 2.69
Ta1 0.0000 0.5000 0.5000  4 Tc 2.66, 4 P 2.69-2.84, 2 Ta 2.86
Tc1 0.6687 0.0000 0.7566  2 P 2.49, 2 Tc 2.56, 2 Ta 2.66
Tc2 0.3313 0.0000 0.2434  2 P 2.49, 2 Tc 2.56, 2 Ta 2.66

4.
A PBEsol-optimized structure of Li2LaTc. Source: the Alexandria database, functional meta-GGA SCAN.

Output
For the final energy, the calculation gives -81.55 eV for the cell shown. The value obtained for the density is 5507 kg/m³. Its energy of formation is 1.40 eV/f.u. The calculation puts the density of states at the Fermi level at 2.1 states/eV per cell.

Cell: 3.3983 4.8521 5.2889 Å, 110.75 90.00 110.50°
Closest atoms and distances in Å follow each position.
Fractional positions:
La1 0.7774 0.5547 0.3214  2 Tc 2.55
Li1 0.9847 0.9694 0.9426  3 Li 2.70-2.73
Li2 0.2353 0.4706 0.7768  3 Li 2.70-2.73, 2 Tc 2.74
Tc1 0.5026 0.0053 0.4592  2 La 2.55, 2 Li 2.74

5.
A PBEsol-optimized structure of CaHgSb. Source: the Alexandria database, functional meta-GGA SCAN.

Output
For the final energy, the calculation gives -117.07 eV for the cell shown. The value obtained for the density is 7410 kg/m³. The value obtained for the energy relative to the elements, uncorrected is -63.6 kJ per mole of atoms. The calculation puts the density of states at the Fermi level at 1.0 states/eV per cell.

Cell: 4.3463 4.6453 4.6453 Å, 120.00 90.00 90.00°
Closest atoms and distances in Å follow each position.
Fractional positions:
Sb1 0.3931 0.6667 0.3333  3 Hg 2.87
Ca1 0.9762 0.0000 0.0000  3 Hg 3.07, 3 Sb 3.24
Hg1 0.6308 0.3333 0.6667  3 Sb 2.87, 3 Ca 3.07

6.
A PBEsol-optimized structure of Ca2CuRh2. Source: the Alexandria database, functional meta-GGA SCAN.

Output
For the final energy, the calculation gives -206.92 eV for the cell shown. The value obtained for the density is 6197 kg/m³. Its energy of formation is -1.39 eV/f.u. The calculation puts the density of states at the Fermi level at 3.7 states/eV per cell.

Cell: 4.3347 6.5736 6.5736 Å, 90.00 90.00 90.00°
Closest atoms and distances in Å follow each position.
Fractional positions:
Ca1 0.5000 0.1752 0.6752  6 Rh 2.79-2.99
Ca2 0.5000 0.6752 0.8248  6 Rh 2.79-2.99
Ca3 0.5000 0.8248 0.3248  6 Rh 2.79-2.99
Ca4 0.5000 0.3248 0.1752  6 Rh 2.79-2.99
Rh1 0.0000 0.3634 0.8634  1 Rh 2.54, 2 Cu 2.55, 2 Ca 2.79
Rh2 0.0000 0.8634 0.6366  1 Rh 2.54, 2 Cu 2.55, 2 Ca 2.79
Rh3 0.0000 0.6366 0.1366  1 Rh 2.54, 2 Cu 2.55, 2 Ca 2.79
Rh4 0.0000 0.1366 0.3634  1 Rh 2.54, 2 Cu 2.55, 2 Ca 2.79
Cu1 0.0000 0.0000 0.0000  4 Rh 2.55
Cu2 0.0000 0.5000 0.5000  4 Rh 2.55

7.
A PBEsol-optimized structure of BaMgSc2. Source: the Alexandria database, functional meta-GGA SCAN.

Output
For the final energy, the calculation gives -71.84 eV for the cell shown. The value obtained for the density is 3598 kg/m³. Its energy of formation is 1.16 eV/f.u. The calculation puts the density of states at the Fermi level at 4.5 states/eV per cell.

Cell: 3.4256 5.8611 6.1395 Å, 99.54 90.00 106.99°
Closest atoms and distances in Å follow each position.
Fractional positions:
Ba1 0.4950 0.9901 0.4937  2 Ba 3.43, 7 Sc 3.45-3.69, 3 Mg 3.46-3.50
Mg1 0.7399 0.4799 0.2202  5 Sc 3.15-3.47, 2 Mg 3.43, 3 Ba 3.46-3.50
Sc1 0.0006 0.0012 0.9868  5 Sc 3.20-3.43, 3 Mg 3.29-3.47, 4 Ba 3.47-3.56
Sc2 0.2644 0.5289 0.7994  2 Mg 3.15, 5 Sc 3.20-3.43, 1 Ba 3.45

8.
A PBEsol-optimized structure of CsWCS2. Source: the Alexandria database, functional meta-GGA SCAN.

Output
For the final energy, the calculation gives -124.61 eV for the cell shown. The value obtained for the density is 7999 kg/m³. The value obtained for the energy relative to the elements, uncorrected is 236.3 kJ per mole of atoms. The calculation puts the density of states at the Fermi level at 2.9 states/eV per cell.

Cell: 4.2739 4.2739 4.4649 Å, 90.00 90.00 90.00°
Closest atoms and distances in Å follow each position.
Fractional positions:
Cs1 0.0000 0.0000 0.5000  2 C 2.23
S1 0.0000 0.5000 0.0000  2 C 2.14
S2 0.5000 0.0000 0.0000  2 C 2.14
C1 0.0000 0.0000 0.0000  4 S 2.14, 2 Cs 2.23
W1 0.5000 0.5000 0.5000  4 Cs 3.02, 8 S 3.09